(1)
Here is KIn2Cl after structural relaxation from Alexandria via LeMat-Bulk. Energies are from PBE.

**Relative energy among the computed polymorphs**: 263 meV/atom
**DFT total energy**: -0.18667 Ry per atom

Lattice parameters (Å, degrees): 6.0600 11.9912 3.5158 90.00 90.00 90.00
Space group Cmmm (No. 65)
One atom of each set of equivalent atoms:
K 0.0000 0.0000 0.0000
In 0.2500 0.2500 0.5000
Cl 0.0000 0.5000 0.0000

(2)
Here is KIn2Cl after structural relaxation from Alexandria via LeMat-Bulk. Energies are from PBE.

**Relative energy among the computed polymorphs**: 460 meV/atom
**DFT total energy**: -0.17213 Ry per atom

Lattice parameters (Å, degrees): 3.8577 6.2578 10.5661 90.00 90.00 90.00
Space group Cmmm (No. 65)
One atom of each set of equivalent atoms:
K 0.0000 0.0000 0.0000
In 0.0000 0.5000 0.2868
Cl 0.0000 0.0000 0.5000

(3)
Here is KIn3Cl4 after structural relaxation from Alexandria via LeMat-Bulk. Energies are from PBE.

**DFT total energy**: -0.23336 Ry per atom

Lattice parameters (Å, degrees): 7.8980 8.8790 7.9367 90.00 107.29 90.00
Space group P2/c (No. 13)
One atom of each set of equivalent atoms:
K 0.0000 0.1230 0.2500
In 0.0000 0.3657 0.7500
In 0.5000 0.1414 0.7500
In 0.5000 0.3705 0.2500
Cl 0.2188 0.3989 0.4644
Cl 0.2745 0.0936 0.0328

(4)
Here is K2InCl6 after structural relaxation from Alexandria via LeMat-Bulk. Energies are from PBE.

**DFT total energy**: -0.22584 Ry per atom

Lattice parameters (Å, degrees): 7.3604 7.8469 11.3475 90.00 123.11 90.00
Space group P2_1/c (No. 14)
One atom of each set of equivalent atoms:
K 0.2166 0.0752 0.2478
In 0.5000 0.0000 0.0000
Cl 0.1793 0.1732 0.9569
Cl 0.2973 0.7230 0.9791
Cl 0.3145 0.5078 0.2355

(5)
Here is K2In3Cl5 after structural relaxation from Alexandria via LeMat-Bulk. Energies are from PBE.

**DFT total energy**: -0.23426 Ry per atom

Lattice parameters (Å, degrees): 16.5679 4.3123 11.4409 90.00 125.95 90.00
Space group C2/m (No. 12)
One atom of each set of equivalent atoms:
K 0.1714 0.0000 0.2736
In 0.0000 0.0000 0.5000
In 0.1102 0.5000 0.8712
Cl 0.0000 0.5000 0.0000
Cl 0.1094 0.5000 0.4213
Cl 0.2194 0.0000 0.8050

(6)
Here is K3InCl6 after structural relaxation from Alexandria via LeMat-Bulk. Energies are from PBE.

**DFT total energy**: -0.24743 Ry per atom

Lattice parameters (Å, degrees): 7.4363 7.8686 12.9130 90.00 124.49 90.00
Space group P2_1/c (No. 14)
One atom of each set of equivalent atoms:
K 0.0000 0.0000 0.0000
K 0.2180 0.0726 0.7450
In 0.5000 0.0000 0.5000
Cl 0.1698 0.1766 0.4462
Cl 0.2627 0.7295 0.4277
Cl 0.4001 0.0500 0.2775

(7)
Here is K4InCl after structural relaxation from Alexandria via LeMat-Bulk. Energies are from PBE.

**DFT total energy**: -0.11636 Ry per atom

Lattice parameters (Å, degrees): 10.6642 10.6642 10.6642 90.00 90.00 90.00
Space group F-43m (No. 216)
One atom of each set of equivalent atoms:
K 0.1250 0.1250 0.1250
In 0.0000 0.0000 0.5000
Cl 0.2500 0.2500 0.7500

(8)
Here is K5In3Cl12 after structural relaxation from Alexandria via LeMat-Bulk. Energies are from PBE.

**DFT total energy**: -0.23274 Ry per atom

Lattice parameters (Å, degrees): 18.1777 18.1777 18.1777 90.00 90.00 90.00
Space group Ia-3d (No. 230)
One atom of each set of equivalent atoms:
K 0.0000 0.0000 0.0000
K 0.0000 0.2500 0.3750
In 0.0000 0.2500 0.1250
Cl 0.0256 0.0453 0.3389